Record 1
Entry from Alexandria via LeMat-Bulk: crystalline LaTiGe2O8 at its relaxed geometry (PBE).

Density = 5.0 g/cm3
Raw total energy = -86.5 eV per formula unit
Space-group type = I-4m2 (119)

Lattice parameters (Å, degrees): 5.848 5.848 5.848 107.80 107.80 112.87
Positions (direct):
O  0.297  0.128  0.831
O  0.533  0.703  0.831
O  0.872  0.703  0.169
O  0.925  0.222  0.297
O  0.372  0.075  0.297
O  0.297  0.467  0.169
O  0.925  0.628  0.703
O  0.778  0.075  0.703
Ge  0.750  0.250  0.500
Ge  0.500  0.500  0.000
Ti  0.000  0.000  0.000
La  0.250  0.750  0.500

Record 2
Entry from Alexandria via LeMat-Bulk: crystalline NpTlCuSe4 at its relaxed geometry (PBE).

Density = 7.6 g/cm3
Raw total energy = -37.6 eV per formula unit
Space-group type = P2_1/m (11)

Lattice parameters (Å, degrees): 7.064 5.689 9.386 90.00 107.58 90.00
Last column: magnetic moment on the atom in μB.
Positions (direct):
Se  0.430  0.750  0.588  -0.17
Se  0.979  0.490  0.295  -0.12
Se  0.021  0.510  0.705  -0.12
Se  0.570  0.250  0.412  -0.17
Se  0.979  0.010  0.295  -0.12
Se  0.539  0.250  0.836  -0.17
Se  0.461  0.750  0.164  -0.17
Se  0.021  0.990  0.705  -0.12
Tl  0.260  0.250  0.052  -0.03
Tl  0.740  0.750  0.948  -0.03
Np  0.733  0.750  0.445  3.13
Np  0.267  0.250  0.555  3.13
Cu  0.260  0.750  0.327  -0.14
Cu  0.740  0.250  0.673  -0.14

Record 3
Entry from Alexandria via LeMat-Bulk: crystalline MgAlRuO6 at its relaxed geometry (PBE).

Density = 4.3 g/cm3
Raw total energy = -59.6 eV per formula unit
Space-group type = P-31c (163)

Lattice parameters (Å, degrees): 4.954 4.954 8.995 90.00 90.00 120.00
Last column: magnetic moment on the atom in μB.
Positions (direct):
O  0.354  0.002  0.136  0.01
O  0.998  0.646  0.364  0.01
O  0.646  0.648  0.636  0.01
O  0.648  0.646  0.136  0.01
O  0.002  0.648  0.864  0.01
O  0.002  0.354  0.636  0.01
O  0.354  0.352  0.364  0.01
O  0.352  0.998  0.636  0.01
O  0.648  0.002  0.364  0.01
O  0.352  0.354  0.864  0.01
O  0.646  0.998  0.864  0.01
O  0.998  0.352  0.136  0.01
Ru  0.333  0.667  0.250  0.55
Ru  0.667  0.333  0.750  0.55
Mg  0.000  0.000  0.500  0.00
Mg  0.000  0.000  0.000  0.00
Al  0.667  0.333  0.250  0.01
Al  0.333  0.667  0.750  0.01

Results for energy relative to the elements, uncorrected: -2.06 -0.61 -1.69 (in eV per atom, following the order of the records).